No. 1
The following is a GGA-PBE calculation of an optimized crystal structure of MgZr3N, from the Alexandria database. Values from VASP.

Cell and atoms, written as Quantum ESPRESSO input:
```
&SYSTEM
  ibrav = 0, nat = 20, ntyp = 3
/
ATOMIC_SPECIES
Mg 24.30 Mg.upf
Zr 91.22 Zr.upf
N 14.01 N.upf
ATOMIC_POSITIONS crystal
Mg 0.1688 0.2481 0.0842
Mg 0.1688 0.2519 0.5842
Mg 0.8312 0.7481 0.4158
Mg 0.8312 0.7519 0.9158
Zr 0.0586 0.5615 0.7799
Zr 0.0586 0.9385 0.2799
Zr 0.3085 0.7482 0.1552
Zr 0.3085 0.7518 0.6552
Zr 0.4124 0.2279 0.9557
Zr 0.4124 0.2721 0.4557
Zr 0.5876 0.7279 0.5443
Zr 0.5876 0.7721 0.0443
Zr 0.6915 0.2482 0.3448
Zr 0.6915 0.2518 0.8448
Zr 0.9414 0.0615 0.7201
Zr 0.9414 0.4385 0.2201
N 0.2583 0.6162 0.3786
N 0.2583 0.8838 0.8786
N 0.7417 0.1162 0.1214
N 0.7417 0.3838 0.6214
CELL_PARAMETERS angstrom
8.0970 0.0000 0.0000
0.0000 5.8812 0.0000
-6.2181 0.0000 7.8892
```

Output
Total moment = 0.0 μB/f.u.
Space-group type = P2_1/c
Crystal system = monoclinic
Energy = -7.50 eV per atom


No. 2
The following is a GGA-PBE calculation of an optimized crystal structure of MgZr3N, from the Alexandria database. Values from VASP.

Cell and atoms, written as Quantum ESPRESSO input:
```
&SYSTEM
  ibrav = 0, nat = 5, ntyp = 3
/
ATOMIC_SPECIES
Mg 24.30 Mg.upf
Zr 91.22 Zr.upf
N 14.01 N.upf
ATOMIC_POSITIONS crystal
Mg 0.0000 0.0000 0.0000
Zr 0.0000 0.5000 0.5000
Zr 0.5000 0.0000 0.5000
Zr 0.5000 0.5000 0.0000
N 0.5000 0.5000 0.5000
CELL_PARAMETERS angstrom
4.5388 0.0000 0.0000
0.0000 4.5388 0.0000
0.0000 0.0000 4.5388
```

Output
Total moment = 0.0 μB/f.u.
Space-group type = Pm-3m
Crystal system = cubic
Energy = -7.83 eV per atom